1.
PrZr2Ag, optimized geometry, DFT PBE; ΔH_f (0 K) = 1.4 eV per formula unit; space group = No. 166; theoretical density = 7.25 g/cm3; total magnetic moment = 0.0 μB per formula unit; calculated volume = 98.7 Å³/f.u.; energy = -5.841 eV per atom
1.0
1.587 0.916 11.321
-1.587 0.916 11.321
0.000 -1.832 11.321
Pr Zr Ag
1 2 1
direct
0.000 0.000 0.000 Pr
0.095 0.095 0.095 Zr
0.905 0.905 0.905 Zr
0.500 0.500 0.500 Ag

---

2.
Pr2ZrAg, optimized geometry, DFT PBE; ΔH_f (0 K) = -0.1 eV per formula unit; space group = No. 123; theoretical density = 7.12 g/cm3; total magnetic moment = 0.0 μB per formula unit; excess energy over the best structure of this formula in the dataset = 0.0000 eV per atom; calculated volume = 112.2 Å³/f.u.; energy = -5.266 eV per atom
1.0
3.543 0.000 0.000
0.000 3.543 0.000
0.000 0.000 8.940
Pr Zr Ag
2 1 1
direct
0.000 0.000 0.239 Pr
0.000 0.000 0.761 Pr
0.500 0.500 0.500 Zr
0.500 0.500 0.000 Ag

---

3.
AgPt, optimized geometry, DFT PBE; ΔH_f (0 K) = 0.0 eV per formula unit; space group = No. 11; theoretical density = 15.17 g/cm3; total magnetic moment = 0.0 μB per formula unit; calculated volume = 33.2 Å³/f.u.; energy = -4.436 eV per atom
1.0
8.540 0.000 0.000
0.000 2.843 0.000
-2.731 0.000 8.194
Ag Pt
6 6
direct
0.121 0.250 0.293 Ag
0.368 0.750 0.873 Ag
0.372 0.750 0.204 Ag
0.628 0.250 0.796 Ag
0.632 0.250 0.127 Ag
0.879 0.750 0.707 Ag
0.117 0.250 0.957 Pt
0.132 0.250 0.617 Pt
0.381 0.750 0.542 Pt
0.619 0.250 0.458 Pt
0.868 0.750 0.383 Pt
0.883 0.750 0.043 Pt

---

4.
Ag4Pt, optimized geometry, DFT PBE; ΔH_f (0 K) = 0.1 eV per formula unit; space group = No. 12; theoretical density = 12.02 g/cm3; total magnetic moment = 0.0 μB per formula unit; excess energy over the best structure of this formula in the dataset = 0.0036 eV per atom; calculated volume = 86.6 Å³/f.u.; energy = -3.472 eV per atom
1.0
4.816 -1.453 0.000
4.816 1.453 0.000
-3.561 0.000 6.185
Ag Pt
4 1
direct
0.096 0.096 0.393 Ag
0.296 0.296 0.199 Ag
0.704 0.704 0.801 Ag
0.904 0.904 0.607 Ag
0.500 0.500 0.000 Pt

---

5.
Ag5Pt4, optimized geometry, DFT PBE; ΔH_f (0 K) = 0.3 eV per formula unit; space group = No. 2; theoretical density = 14.60 g/cm3; total magnetic moment = 0.0 μB per formula unit; excess energy over the best structure of this formula in the dataset = 0.0271 eV per atom; calculated volume = 150.1 Å³/f.u.; energy = -4.236 eV per atom
1.0
4.953 0.000 0.000
2.473 4.296 0.000
2.470 -1.405 7.055
Ag Pt
5 4
direct
0.000 0.000 0.000 Ag
0.329 0.340 0.001 Ag
0.447 0.109 0.332 Ag
0.553 0.891 0.668 Ag
0.671 0.660 0.999 Ag
0.115 0.777 0.337 Pt
0.222 0.559 0.662 Pt
0.778 0.441 0.338 Pt
0.885 0.223 0.663 Pt

---

6.
Ag7Pt5, optimized geometry, DFT PBE; ΔH_f (0 K) = 0.3 eV per formula unit; space group = No. 1; theoretical density = 14.29 g/cm3; total magnetic moment = 0.0 μB per formula unit; excess energy over the best structure of this formula in the dataset = 0.0276 eV per atom; calculated volume = 201.0 Å³/f.u.; energy = -4.154 eV per atom
1.0
4.970 0.000 0.000
2.478 4.310 0.000
1.722 -0.057 9.386
Ag Pt
7 5
direct
0.000 0.000 0.000 Ag
0.074 0.332 0.750 Ag
0.159 0.663 0.500 Ag
0.248 0.991 0.249 Ag
0.499 0.990 0.500 Ag
0.668 0.668 0.000 Ag
0.821 0.330 0.499 Ag
0.339 0.339 0.999 Pt
0.405 0.661 0.752 Pt
0.575 0.323 0.248 Pt
0.733 0.006 0.752 Pt
0.922 0.650 0.247 Pt

---

7.
Ag2Pt3, optimized geometry, DFT PBE; ΔH_f (0 K) = 0.2 eV per formula unit; space group = No. 10; theoretical density = 16.23 g/cm3; total magnetic moment = 0.0 μB per formula unit; excess energy over the best structure of this formula in the dataset = 0.0863 eV per atom; calculated volume = 81.9 Å³/f.u.; energy = -4.719 eV per atom
1.0
6.208 0.000 0.000
0.000 4.075 0.000
-0.250 0.000 6.479
Ag Pt
4 6
direct
0.000 0.000 0.000 Ag
0.202 0.000 0.400 Ag
0.500 0.500 0.500 Ag
0.798 0.000 0.600 Ag
0.098 0.500 0.701 Pt
0.307 0.500 0.094 Pt
0.397 0.000 0.807 Pt
0.603 0.000 0.193 Pt
0.693 0.500 0.906 Pt
0.902 0.500 0.299 Pt

---

8.
Ag3Pt2, optimized geometry, DFT PBE; ΔH_f (0 K) = 0.2 eV per formula unit; space group = No. 71; theoretical density = 14.10 g/cm3; total magnetic moment = 0.0 μB per formula unit; excess energy over the best structure of this formula in the dataset = 0.1003 eV per atom; calculated volume = 84.1 Å³/f.u.; energy = -4.082 eV per atom
1.0
-1.407 2.104 7.100
1.407 -2.104 7.100
1.407 2.104 -7.100
Ag Pt
3 2
direct
0.000 0.000 0.000 Ag
0.199 0.199 0.000 Ag
0.801 0.801 0.000 Ag
0.402 0.402 0.000 Pt
0.598 0.598 0.000 Pt

---

9.
Ag5Pt2, optimized geometry, DFT PBE; ΔH_f (0 K) = 0.2 eV per formula unit; space group = No. 12; theoretical density = 12.89 g/cm3; total magnetic moment = 0.0 μB per formula unit; calculated volume = 119.7 Å³/f.u.; energy = -3.734 eV per atom
1.0
4.596 -2.056 0.000
4.596 2.056 0.000
-0.774 0.000 6.334
Ag Pt
5 2
direct
0.000 0.000 0.000 Ag
0.146 0.146 0.429 Ag
0.431 0.431 0.283 Ag
0.569 0.569 0.717 Ag
0.854 0.854 0.571 Ag
0.283 0.283 0.864 Pt
0.717 0.717 0.136 Pt

---

10.
Ag2Pt3, optimized geometry, DFT PBE; ΔH_f (0 K) = 0.7 eV per formula unit; space group = No. 43; theoretical density = 15.97 g/cm3; total magnetic moment = 0.0 μB per formula unit; excess energy over the best structure of this formula in the dataset = 0.1740 eV per atom; calculated volume = 83.3 Å³/f.u.; energy = -4.631 eV per atom
1.0
0.000 7.026 2.429
4.882 0.000 2.429
4.882 7.026 0.000
Ag Pt
4 6
direct
0.049 0.451 0.050 Ag
0.200 0.800 0.201 Ag
0.451 0.049 0.450 Ag
0.800 0.200 0.799 Ag
0.001 0.001 0.999 Pt
0.251 0.251 0.249 Pt
0.406 0.596 0.402 Pt
0.596 0.406 0.596 Pt
0.654 0.848 0.654 Pt
0.848 0.654 0.844 Pt

---

11.
Ag2Pt3, optimized geometry, DFT PBE; ΔH_f (0 K) = 0.2 eV per formula unit; space group = No. 2; theoretical density = 16.25 g/cm3; total magnetic moment = 0.0 μB per formula unit; excess energy over the best structure of this formula in the dataset = 0.0717 eV per atom; calculated volume = 81.9 Å³/f.u.; energy = -4.733 eV per atom
1.0
4.870 0.000 0.000
-0.913 4.868 0.000
-1.491 -2.698 6.906
Ag Pt
4 6
direct
0.151 0.300 0.049 Ag
0.246 0.499 0.753 Ag
0.754 0.501 0.247 Ag
0.849 0.700 0.951 Ag
0.061 0.104 0.355 Pt
0.354 0.707 0.453 Pt
0.461 0.916 0.159 Pt
0.539 0.084 0.841 Pt
0.646 0.293 0.547 Pt
0.939 0.896 0.645 Pt

---

12.
Ag5Pt6, optimized geometry, DFT PBE; ΔH_f (0 K) = 0.0 eV per formula unit; space group = No. 12; theoretical density = 15.65 g/cm3; total magnetic moment = 0.0 μB per formula unit; excess energy over the best structure of this formula in the dataset = 0.0000 eV per atom; calculated volume = 181.4 Å³/f.u.; energy = -4.593 eV per atom
1.0
7.508 -1.401 0.000
7.508 1.401 0.000
-0.552 0.000 8.624
Ag Pt
5 6
direct
0.000 0.000 0.000 Ag
0.086 0.086 0.448 Ag
0.365 0.365 0.820 Ag
0.635 0.635 0.180 Ag
0.914 0.914 0.552 Ag
0.188 0.188 0.901 Pt
0.273 0.273 0.374 Pt
0.446 0.446 0.265 Pt
0.554 0.554 0.735 Pt
0.727 0.727 0.626 Pt
0.812 0.812 0.099 Pt

---

13.
Ag4Pt, optimized geometry, DFT PBE; ΔH_f (0 K) = 0.1 eV per formula unit; space group = No. 71; theoretical density = 12.03 g/cm3; total magnetic moment = 0.0 μB per formula unit; excess energy over the best structure of this formula in the dataset = 0.0088 eV per atom; calculated volume = 86.5 Å³/f.u.; energy = -3.467 eV per atom
1.0
-1.440 2.071 7.250
1.440 -2.071 7.250
1.440 2.071 -7.250
Ag Pt
4 1
direct
0.098 0.098 0.000 Ag
0.301 0.301 0.000 Ag
0.699 0.699 0.000 Ag
0.902 0.902 0.000 Ag
0.500 0.500 0.000 Pt

---

14.
Ag5Pt7, optimized geometry, DFT PBE; ΔH_f (0 K) = 0.3 eV per formula unit; space group = No. 71; theoretical density = 16.07 g/cm3; total magnetic moment = 0.0 μB per formula unit; excess energy over the best structure of this formula in the dataset = 0.0358 eV per atom; calculated volume = 196.8 Å³/f.u.; energy = -4.685 eV per atom
1.0
-2.007 4.035 6.076
2.007 -4.035 6.076
2.007 4.035 -6.076
Ag Pt
5 7
direct
0.000 0.000 0.000 Ag
0.162 0.662 0.500 Ag
0.253 0.500 0.753 Ag
0.747 0.500 0.247 Ag
0.838 0.338 0.500 Ag
0.090 0.829 0.261 Pt
0.332 0.332 0.000 Pt
0.432 0.171 0.261 Pt
0.500 0.000 0.500 Pt
0.568 0.829 0.739 Pt
0.668 0.668 0.000 Pt
0.910 0.171 0.739 Pt

---

15.
Ag3Pt2, optimized geometry, DFT PBE; ΔH_f (0 K) = 0.1 eV per formula unit; space group = No. 1; theoretical density = 14.09 g/cm3; total magnetic moment = 0.0 μB per formula unit; excess energy over the best structure of this formula in the dataset = 0.0840 eV per atom; calculated volume = 84.1 Å³/f.u.; energy = -4.099 eV per atom
1.0
4.970 0.000 0.000
-1.624 5.515 0.000
-0.874 -1.720 6.135
Ag Pt
6 4
direct
0.000 0.000 0.000 Ag
0.004 0.504 0.001 Ag
0.403 0.298 0.792 Ag
0.599 0.200 0.193 Ag
0.803 0.098 0.589 Ag
0.811 0.602 0.593 Ag
0.200 0.896 0.397 Pt
0.216 0.408 0.400 Pt
0.405 0.796 0.791 Pt
0.593 0.703 0.190 Pt

---

16.
Ag7Pt5, optimized geometry, DFT PBE; ΔH_f (0 K) = 0.0 eV per formula unit; space group = No. 5; theoretical density = 14.30 g/cm3; total magnetic moment = 0.0 μB per formula unit; excess energy over the best structure of this formula in the dataset = 0.0012 eV per atom; calculated volume = 200.9 Å³/f.u.; energy = -4.180 eV per atom
1.0
2.904 -8.623 0.000
2.904 8.623 0.000
-2.848 0.000 4.012
Ag Pt
7 5
direct
0.000 0.000 0.000 Ag
0.087 0.913 0.500 Ag
0.172 0.828 0.000 Ag
0.581 0.419 0.500 Ag
0.750 0.250 0.500 Ag
0.831 0.169 0.000 Ag
0.919 0.081 0.500 Ag
0.254 0.746 0.500 Pt
0.339 0.661 0.000 Pt
0.415 0.585 0.500 Pt
0.499 0.501 0.000 Pt
0.665 0.335 0.000 Pt

---

17.
Ag4Pt, optimized geometry, DFT PBE; ΔH_f (0 K) = 1.0 eV per formula unit; space group = No. 12; theoretical density = 11.07 g/cm3; total magnetic moment = 0.0 μB per formula unit; excess energy over the best structure of this formula in the dataset = 0.1963 eV per atom; calculated volume = 94.0 Å³/f.u.; energy = -3.279 eV per atom
1.0
4.894 -2.736 0.000
4.894 2.736 0.000
-1.787 0.000 7.018
Ag Pt
8 2
direct
0.025 0.025 0.194 Ag
0.051 0.549 0.318 Ag
0.442 0.442 0.656 Ag
0.451 0.949 0.682 Ag
0.549 0.051 0.318 Ag
0.558 0.558 0.344 Ag
0.949 0.451 0.682 Ag
0.975 0.975 0.806 Ag
0.361 0.361 0.000 Pt
0.639 0.639 0.000 Pt

---

18.
Ag5Pt, optimized geometry, DFT PBE; ΔH_f (0 K) = 0.1 eV per formula unit; space group = No. 38; theoretical density = 11.66 g/cm3; total magnetic moment = 0.0 μB per formula unit; excess energy over the best structure of this formula in the dataset = 0.0099 eV per atom; calculated volume = 104.6 Å³/f.u.; energy = -3.358 eV per atom
1.0
4.782 0.000 0.000
0.000 1.457 7.502
0.000 -1.457 7.502
Ag Pt
5 1
direct
0.000 0.000 0.000 Ag
0.000 0.330 0.330 Ag
0.500 0.216 0.216 Ag
0.500 0.552 0.552 Ag
0.500 0.886 0.886 Ag
0.000 0.666 0.666 Pt

---

19.
Ag7Pt5, optimized geometry, DFT PBE; ΔH_f (0 K) = 0.0 eV per formula unit; space group = No. 6; theoretical density = 14.30 g/cm3; total magnetic moment = 0.0 μB per formula unit; excess energy over the best structure of this formula in the dataset = 0.0000 eV per atom; calculated volume = 201.0 Å³/f.u.; energy = -4.181 eV per atom
1.0
8.175 0.000 0.000
0.000 2.824 0.000
-0.119 0.000 8.707
Ag Pt
7 5
direct
0.000 0.000 0.000 Ag
0.002 0.000 0.681 Ag
0.246 0.500 0.173 Ag
0.499 0.000 0.345 Ag
0.505 0.000 0.015 Ag
0.753 0.500 0.509 Ag
0.764 0.500 0.180 Ag
0.014 0.000 0.354 Pt
0.253 0.500 0.513 Pt
0.260 0.500 0.841 Pt
0.497 0.000 0.677 Pt
0.739 0.500 0.836 Pt

---

20.
Ag2Pt3, optimized geometry, DFT PBE; ΔH_f (0 K) = 0.0 eV per formula unit; space group = No. 139; theoretical density = 16.24 g/cm3; total magnetic moment = 0.0 μB per formula unit; excess energy over the best structure of this formula in the dataset = 0.0407 eV per atom; calculated volume = 81.9 Å³/f.u.; energy = -4.764 eV per atom
1.0
-1.401 1.401 10.429
1.401 -1.401 10.429
1.401 1.401 -10.429
Ag Pt
2 3
direct
0.197 0.197 0.000 Ag
0.803 0.803 0.000 Ag
0.000 0.000 0.000 Pt
0.404 0.404 0.000 Pt
0.596 0.596 0.000 Pt